A plane-wave DFT calculation with PBE was carried out for a relaxed structure of ScTeW4.

Computed properties:
The uncorrected formation energy is 9.644 kcal/mol of atoms. The calculation puts the electronic total energy at -58.78 eV/cell.

Cell lengths 5.415, 5.415, 5.415 Å; angles 60.00, 60.00, 60.00 degrees
Element x y z (fractional)
W: 0.376 0.376 0.376
W: 0.873 0.376 0.376
Te: 0.000 0.000 0.000
W: 0.376 0.376 0.873
W: 0.376 0.873 0.376
Sc: 0.750 0.750 0.750